Compound: Hf2CuAs2
Source: OQMD via LeMat-Bulk
Functional: PBE-GGA
Structure: relaxed

Cell and atoms, written as POSCAR:
```
Hf2CuAs2
1.0
3.2659 -3.2659 0.0000
3.2659 3.2659 0.0000
-3.2659 0.0000 5.0863
As Hf Cu
2 2 1
direct
0.3767 0.3767 0.7534
0.6233 0.6233 0.2466
0.2500 0.7500 0.5000
0.7500 0.2500 0.5000
0.0000 0.0000 0.0000
```

Output
* electronic total energy: -6.755 eV/atom
* space-group type: I4/mmm (139)
* crystal system: tetragonal

=====

Compound: Hf3CuAs
Source: OQMD via LeMat-Bulk
Functional: PBE-GGA
Structure: relaxed

Cell and atoms, written as POSCAR:
```
Hf3CuAs
1.0
2.8094 4.4263 2.5058
-4.7773 -1.3065 -3.0389
-4.8061 -1.6215 8.2526
Hf As Cu
6 2 2
direct
0.3461 0.6539 0.9190
0.3461 0.6539 0.5810
0.6539 0.3461 0.0810
0.9209 0.0791 0.2500
0.0791 0.9209 0.7500
0.6539 0.3461 0.4190
0.0000 0.0000 0.5000
0.0000 0.0000 0.0000
0.2486 0.7514 0.2500
0.7514 0.2486 0.7500
```

Output
* electronic total energy: -7.981 eV/atom
* space-group type: Cmcm (63)
* crystal system: orthorhombic

=====

Compound: HfCuAs2
Source: OQMD via LeMat-Bulk
Functional: PBE-GGA
Structure: relaxed

Cell and atoms, written as POSCAR:
```
HfCuAs2
1.0
0.0000 3.2736 3.2736
3.2736 0.0000 3.2736
3.2736 3.2736 0.0000
Hf Cu As
1 1 2
direct
0.5000 0.5000 0.5000
0.2500 0.2500 0.2500
0.0000 0.0000 0.0000
0.7500 0.7500 0.7500
```

Output
* electronic total energy: -5.665 eV/atom
* space-group type: F-43m (216)
* crystal system: cubic

=====

Compound: Hf2CuAs
Source: OQMD via LeMat-Bulk
Functional: PBE-GGA
Structure: relaxed

Cell and atoms, written as POSCAR:
```
Hf2CuAs
1.0
-1.2694 -3.3673 2.9912
-4.5282 -0.7014 0.9491
-2.1538 -3.8425 -1.5793
Hf Cu As
2 1 1
direct
0.0000 0.0000 0.0000
0.7500 0.7500 0.7500
0.2500 0.2500 0.2500
0.5000 0.5000 0.5000
```

Output
* electronic total energy: -6.748 eV/atom
* space-group type: F-43m (216)
* crystal system: cubic

=====

Compound: Hf3CuAs5
Source: OQMD via LeMat-Bulk
Functional: PBE-GGA
Structure: relaxed

Cell and atoms, written as POSCAR:
```
Hf3CuAs5
1.0
6.2876 0.0000 0.0000
-3.1438 5.4452 0.0000
0.0000 0.0000 6.1859
As Hf Cu
5 3 1
direct
0.6667 0.3333 0.8071
0.6667 0.3333 0.1929
0.3333 0.6667 0.1929
0.0000 0.0000 0.5000
0.3333 0.6667 0.8071
0.5000 0.0000 0.5000
0.5000 0.5000 0.5000
0.0000 0.5000 0.5000
0.0000 0.0000 0.0000
```

Output
* electronic total energy: -6.394 eV/atom
* space-group type: P6/mmm (191)
* crystal system: hexagonal

=====

Compound: Hf3Cu4As4
Source: OQMD via LeMat-Bulk
Functional: PBE-GGA
Structure: relaxed

Cell and atoms, written as POSCAR:
```
Hf3Cu4As4
1.0
-2.6759 -1.3379 -5.7155
-3.2541 -0.9068 1.7358
-2.1848 7.3526 -0.2548
Hf As Cu
3 4 4
direct
0.4729 0.0000 0.3233
0.5320 0.5000 0.6712
0.9620 0.0000 0.1869
0.7741 0.5000 0.3821
0.2287 0.0000 0.6321
0.2495 0.5000 0.1118
0.7587 0.0000 0.8833
0.6280 0.5000 0.0550
0.3720 0.0000 0.9349
0.8511 0.0000 0.5808
0.1690 0.5000 0.4360
```

Output
* electronic total energy: -6.219 eV/atom
* space-group type: Pm (6)
* crystal system: monoclinic

=====

Compound: HfCuAs2
Source: OQMD via LeMat-Bulk
Functional: PBE-GGA
Structure: relaxed

Cell and atoms, written as POSCAR:
```
HfCuAs2
1.0
0.0066 -2.8782 3.6295
-2.8361 0.7788 3.5787
-3.6150 -2.7997 0.7423
As Cu Hf
2 1 1
direct
0.7500 0.7500 0.7500
0.0000 0.0000 0.0000
0.5000 0.5000 0.5000
0.2500 0.2500 0.2500
```

Output
* electronic total energy: -5.666 eV/atom
* space-group type: F-43m (216)
* crystal system: cubic

=====

Compound: HfCuHgAs
Source: OQMD via LeMat-Bulk
Functional: PBE-GGA
Structure: relaxed

Cell and atoms, written as POSCAR:
```
HfCuHgAs
1.0
0.0000 3.3698 3.3698
3.3698 0.0000 3.3698
3.3698 3.3698 0.0000
Hf Cu Hg As
1 1 1 1
direct
0.5000 0.5000 0.5000
0.7500 0.7500 0.7500
0.2500 0.2500 0.2500
0.0000 0.0000 0.0000
```

Output
* electronic total energy: -4.359 eV/atom
* space-group type: F-43m (216)
* crystal system: cubic
* excess energy over the best structure of this formula in the dataset: 224.4 meV per atom

=====

Compound: HfCuHgAs
Source: OQMD via LeMat-Bulk
Functional: PBE-GGA
Structure: relaxed

Cell and atoms, written as POSCAR:
```
HfCuHgAs
1.0
3.0122 -3.1700 -1.7432
-1.6178 -3.7154 -2.3956
0.6885 -0.2851 -4.6482
Hf Cu As Hg
1 1 1 1
direct
0.2500 0.2500 0.2500
0.7500 0.7500 0.7500
0.0000 0.0000 0.0000
0.5000 0.5000 0.5000
```

Output
* electronic total energy: -4.584 eV/atom
* space-group type: F-43m (216)
* crystal system: cubic
* excess energy over the best structure of this formula in the dataset: 0.0 meV per atom

=====

Compound: HfCuAsIr
Source: OQMD via LeMat-Bulk
Functional: PBE-GGA
Structure: relaxed

Cell and atoms, written as POSCAR:
```
HfCuAsIr
1.0
-2.3221 -3.5299 1.5714
-1.8875 0.1838 4.0896
-4.4828 0.2505 0.4043
Ir As Cu Hf
1 1 1 1
direct
0.2500 0.2500 0.2500
0.0000 0.0000 0.0000
0.7500 0.7500 0.7500
0.5000 0.5000 0.5000
```

Output
* electronic total energy: -7.090 eV/atom
* space-group type: F-43m (216)
* crystal system: cubic
* excess energy over the best structure of this formula in the dataset: 0.0 meV per atom

=====

Compound: HfCuAsIr
Source: OQMD via LeMat-Bulk
Functional: PBE-GGA
Structure: relaxed

Cell and atoms, written as POSCAR:
```
HfCuAsIr
1.0
0.0000 3.1949 3.1949
3.1949 0.0000 3.1949
3.1949 3.1949 0.0000
Hf Cu As Ir
1 1 1 1
direct
0.2500 0.2500 0.2500
0.7500 0.7500 0.7500
0.0000 0.0000 0.0000
0.5000 0.5000 0.5000
```

Output
* electronic total energy: -7.057 eV/atom
* space-group type: F-43m (216)
* crystal system: cubic
* excess energy over the best structure of this formula in the dataset: 33.1 meV per atom

=====

Compound: HfCuMoAs
Source: OQMD via LeMat-Bulk
Functional: PBE-GGA
Structure: relaxed

Cell and atoms, written as POSCAR:
```
HfCuMoAs
1.0
-3.3482 -0.0204 3.0180
-4.2243 0.8640 -1.3144
-3.0640 -3.3058 -0.0552
As Mo Hf Cu
1 1 1 1
direct
0.0000 0.0000 0.0000
0.2500 0.2500 0.2500
0.5000 0.5000 0.5000
0.7500 0.7500 0.7500
```

Output
* electronic total energy: -7.086 eV/atom
* space-group type: F-43m (216)
* crystal system: cubic
* excess energy over the best structure of this formula in the dataset: 0.0 meV per atom

=====

Compound: HfNbCuAs
Source: OQMD via LeMat-Bulk
Functional: PBE-GGA
Structure: relaxed

Cell and atoms, written as POSCAR:
```
HfNbCuAs
1.0
2.8757 -2.1551 2.8521
-1.6208 -2.0714 3.7591
-0.0324 -4.5803 0.2618
Cu Hf As Nb
1 1 1 1
direct
0.7500 0.7500 0.7500
0.5000 0.5000 0.5000
0.0000 0.0000 0.0000
0.2500 0.2500 0.2500
```

Output
* electronic total energy: -6.849 eV/atom
* space-group type: F-43m (216)
* crystal system: cubic
* excess energy over the best structure of this formula in the dataset: 0.0 meV per atom

=====

Compound: Hf4CuNiAs2
Source: OQMD via LeMat-Bulk
Functional: PBE-GGA
Structure: relaxed

Cell and atoms, written as POSCAR:
```
Hf4CuNiAs2
1.0
-3.6869 -3.6625 1.0538
0.7753 -1.6949 -3.1778
6.7201 -2.1659 2.7948
Cu Hf As Ni
1 4 2 1
direct
0.6319 0.0000 0.7914
0.2859 0.5000 0.5739
0.7733 0.5000 0.0733
0.7087 0.0000 0.4172
0.2326 0.0000 0.9373
0.8691 0.5000 0.7088
0.1340 0.0000 0.2905
0.3645 0.5000 0.2076
```

Output
* electronic total energy: -8.008 eV/atom
* space-group type: Pm (6)
* crystal system: monoclinic